DFT (PBE) results for a relaxed structure of Cd2Ag3Au3.

Summary:
The calculation puts the total magnetization at 0.00 Bohr magnetons per cell. The calculation puts the excess energy over the best structure of this formula in the dataset at 0.0000 eV/atom. The energy of formation from the pure elements is -0.075 eV/atom.

Cell lengths 13.1551, 4.9608, 4.9460 Å; angles 90.00, 111.75, 90.00 degrees
With the nearest neighbours (Å) after each atom.
Space group C2/m (No. 12)
Inequivalent atoms, fractional coordinates:
1 Cd 0.2494 0.0000 0.2500 x4  5 Au 2.90-3.05, 5 Ag 2.92-3.06
2 Ag 0.0000 0.5000 0.5000 x2  4 Ag 2.88-2.89, 4 Au 2.91, 2 Cd 3.06
3 Ag 0.1217 0.5000 0.1212 x4  3 Ag 2.88-2.97, 3 Au 2.89-3.09, 4 Cd 2.92-2.94
4 Au 0.0000 0.0000 0.0000 x2  4 Ag 2.89, 4 Au 2.90-2.92, 2 Cd 3.05
5 Au 0.1251 0.0000 0.6257 x4  4 Cd 2.90-2.92, 3 Au 2.90-3.06, 3 Ag 2.91-3.09


DFT (PBE) results for a relaxed structure of Cd3Ag4Au3.

Summary:
The calculation puts the total magnetization at 0.00 Bohr magnetons per cell. The energy of formation from the pure elements is 0.002 eV/atom.

Cell lengths 4.4283, 8.8602, 10.6242 Å; angles 90.00, 90.00, 90.00 degrees
With the nearest neighbours (Å) after each atom.
Space group Amm2 (No. 38)
Inequivalent atoms, fractional coordinates:
1 Cd 0.0000 0.0000 0.0000 x2  5 Au 2.85-2.89, 2 Cd 2.99
2 Cd 0.0000 0.1686 0.5529 x4  6 Ag 2.97-3.07, 2 Cd 2.99, 2 Au 3.00
3 Ag 0.5000 0.0000 0.4309 x2  4 Au 2.78-2.89, 3 Ag 2.80-3.04, 4 Cd 2.97
4 Ag 0.5000 0.0000 0.6948 x2  2 Au 2.80, 3 Ag 2.80-2.92, 4 Cd 3.07
5 Ag 0.5000 0.1712 0.1824 x4  4 Au 2.82-2.85, 3 Ag 2.92-3.04, 2 Cd 2.97
6 Au 0.0000 0.0000 0.2720 x2  6 Ag 2.78-2.85, 1 Cd 2.89
7 Au 0.5000 0.1740 0.9149 x4  4 Ag 2.80-2.89, 4 Cd 2.85-3.00, 1 Au 3.08


DFT (PBE) results for a relaxed structure of CdAg6Au4.

Summary:
The calculation puts the total magnetization at 0.00 Bohr magnetons per cell. The energy of formation from the pure elements is 0.203 eV/atom.

Cell lengths 6.6685, 6.6685, 10.6716 Å; angles 90.00, 90.00, 90.00 degrees
With the nearest neighbours (Å) after each atom.
Space group I-42m (No. 121)
Inequivalent atoms, fractional coordinates:
1 Cd 0.0000 0.0000 0.0000 x2  4 Au 2.82
2 Ag 0.0000 0.5000 0.0000 x4  4 Ag 2.78, 4 Au 2.86
3 Ag 0.1528 0.1528 0.6075 x8  4 Au 2.71-2.93, 3 Ag 2.78-2.88
4 Au 0.2451 0.2451 0.8483 x8  6 Ag 2.71-2.93, 1 Cd 2.82


DFT (PBE) results for a relaxed structure of Cd8Ag3Au3.

Summary:
The calculation puts the total magnetization at 0.00 Bohr magnetons per cell. The energy of formation from the pure elements is -0.094 eV/atom.

Cell lengths 5.3358, 7.8713, 8.0063 Å; angles 118.03, 95.52, 105.73 degrees
With the nearest neighbours (Å) after each atom.
Space group P-1 (No. 2)
Inequivalent atoms, fractional coordinates:
1 Cd 0.0022 0.1535 0.2203 x2  3 Ag 2.93-3.04, 5 Cd 2.97-3.20, 4 Au 3.00-3.13
2 Cd 0.0098 0.7178 0.0762 x2  2 Ag 2.99-3.12, 7 Cd 2.99-3.13, 3 Au 3.00-3.08
3 Cd 0.4897 0.9170 0.6404 x2  2 Ag 2.94-2.95, 6 Cd 2.97-3.13, 4 Au 2.99-3.09
4 Cd 0.4918 0.3612 0.7795 x2  3 Ag 2.91-3.05, 3 Au 2.95-3.01, 6 Cd 3.04-3.14
5 Ag 0.0039 0.4305 0.6420 x2  7 Cd 2.93-3.12, 3 Ag 2.95-3.10, 2 Au 3.02-3.03
6 Ag 0.5000 0.5000 0.5000 x1  6 Cd 2.91-2.95, 4 Ag 3.00-3.10, 2 Au 3.14
7 Au 0.0000 0.0000 0.5000 x1  10 Cd 2.97-3.09, 2 Ag 3.02
8 Au 0.4918 0.2123 0.0632 x2  9 Cd 2.95-3.13, 2 Ag 3.03-3.14, 1 Au 3.03